1.
Compound: Sb3RhS
Source: Alexandria
Functional: PBE
Structure: relaxed

## Properties
Space-group type: Pm-3m, No. 221
Energy above the most stable polymorph in this dataset in meV per atom: 0.0
E_form (uncorrected) in eV/atom: 0.441
Magnetization in μB per formula unit: 0.0
Calculated volume in Å³/atom: 26.96

Cell: 5.127 5.127 5.127 Å, 90.00 90.00 90.00°
Atoms (fractional coordinates):
Sb (0.000, 0.000, 0.500)
Sb (0.000, 0.500, 0.000)
Sb (0.500, 0.000, 0.000)
Rh (0.000, 0.000, 0.000)
S (0.500, 0.500, 0.500)

***

2.
Compound: SbRhS2
Source: Alexandria
Functional: PBE
Structure: relaxed

## Properties
Space-group type: R-3m, No. 166
E_form (uncorrected) in eV/atom: -0.296
Magnetization in μB per formula unit: 0.0
Calculated volume in Å³/atom: 21.41

Cell: 8.170 8.170 8.170 Å, 24.99 24.99 24.99°
Atoms (fractional coordinates):
Sb (0.000, 0.000, 0.000)
Rh (0.500, 0.500, 0.500)
S (0.116, 0.116, 0.116)
S (0.884, 0.884, 0.884)

***

3.
Compound: SbRhS2
Source: Alexandria
Functional: PBE
Structure: relaxed

## Properties
Space-group type: R-3m, No. 166
E_form (uncorrected) in eV/atom: 0.241
Magnetization in μB per formula unit: 0.0
Calculated volume in Å³/atom: 23.18

Cell: 7.945 7.945 7.945 Å, 27.24 27.24 27.24°
Atoms (fractional coordinates):
Sb (0.000, 0.000, 0.000)
Rh (0.500, 0.500, 0.500)
S (0.403, 0.403, 0.403)
S (0.597, 0.597, 0.597)

***

4.
Compound: Sb3RhS
Source: Alexandria
Functional: PBE
Structure: relaxed

## Properties
Space-group type: Pm-3m, No. 221
Energy above the most stable polymorph in this dataset in meV per atom: 375.1
E_form (uncorrected) in eV/atom: 0.816
Magnetization in μB per formula unit: 0.0
Calculated volume in Å³/atom: 25.91

Cell: 5.060 5.060 5.060 Å, 90.00 90.00 90.00°
Atoms (fractional coordinates):
Sb (0.000, 0.000, 0.500)
Sb (0.000, 0.500, 0.000)
Sb (0.500, 0.000, 0.000)
Rh (0.500, 0.500, 0.500)
S (0.000, 0.000, 0.000)

***

5.
Compound: SbRhS3
Source: Alexandria
Functional: PBE
Structure: relaxed

## Properties
Space-group type: P2_1/m, No. 11
E_form (uncorrected) in eV/atom: -0.309
Magnetization in μB per formula unit: 0.0
Calculated volume in Å³/atom: 22.21

Cell: 6.352 3.679 9.505 Å, 90.00 90.48 90.00°
Atoms (fractional coordinates):
Sb (0.086, 0.250, 0.310)
Sb (0.914, 0.750, 0.690)
Rh (0.419, 0.250, 0.659)
Rh (0.581, 0.750, 0.341)
S (0.108, 0.250, 0.822)
S (0.307, 0.750, 0.512)
S (0.440, 0.250, 0.198)
S (0.560, 0.750, 0.802)
S (0.693, 0.250, 0.488)
S (0.892, 0.750, 0.178)

***

6.
Compound: Sb3RhS8
Source: Alexandria
Functional: PBE
Structure: relaxed

## Properties
Space-group type: C2/m, No. 12
E_form (uncorrected) in eV/atom: -0.208
Magnetization in μB per formula unit: 0.0
Calculated volume in Å³/atom: 24.64

Cell: 7.332 7.332 7.645 Å, 118.80 118.80 59.96°
Atoms (fractional coordinates):
Sb (0.000, 0.000, 0.000)
Sb (0.000, 0.500, 0.000)
Sb (0.500, 0.000, 0.000)
Rh (0.500, 0.500, 0.000)
S (0.249, 0.249, 0.247)
S (0.267, 0.728, 0.222)
S (0.272, 0.272, 0.778)
S (0.272, 0.733, 0.778)
S (0.728, 0.267, 0.222)
S (0.728, 0.728, 0.222)
S (0.733, 0.272, 0.778)
S (0.751, 0.751, 0.753)

***

7.
Compound: SbRhS3
Source: Alexandria
Functional: PBE
Structure: relaxed

## Properties
Space-group type: Pm-3m, No. 221
E_form (uncorrected) in eV/atom: 0.281
Magnetization in μB per formula unit: 0.0
Calculated volume in Å³/atom: 20.04

Cell: 4.645 4.645 4.645 Å, 90.00 90.00 90.00°
Atoms (fractional coordinates):
Sb (0.000, 0.000, 0.000)
Rh (0.500, 0.500, 0.500)
S (0.000, 0.500, 0.500)
S (0.500, 0.000, 0.500)
S (0.500, 0.500, 0.000)

***

8.
Compound: SbRh2S4
Source: Alexandria
Functional: PBE
Structure: relaxed

## Properties
Space-group type: I4_1/a, No. 88
E_form (uncorrected) in eV/atom: -0.210
Magnetization in μB per formula unit: 0.0
Calculated volume in Å³/atom: 18.51

Cell: 7.585 7.585 7.585 Å, 128.62 128.62 75.62°
Atoms (fractional coordinates):
Sb (0.375, 0.125, 0.250)
Sb (0.625, 0.875, 0.750)
Rh (0.000, 0.000, 0.500)
Rh (0.000, 0.500, 0.000)
Rh (0.000, 0.500, 0.500)
Rh (0.500, 0.500, 0.000)
S (0.017, 0.725, 0.899)
S (0.225, 0.826, 0.709)
S (0.326, 0.118, 0.601)
S (0.382, 0.483, 0.209)
S (0.618, 0.517, 0.791)
S (0.674, 0.882, 0.399)
S (0.775, 0.174, 0.291)
S (0.983, 0.275, 0.101)